Dy3TlO6: optimized geometry, PBE.

energy relative to the elements, uncorrected	-2835	meV per atom
Fermi-level density of states	0.000	states/eV per atom
total magnetization	0.000	Bohr magnetons per cell

abc: 6.748 6.748 6.748
angles: 91.79 91.79 91.79
Positions (direct):
Dy1 0.058 0.567 0.752
Dy2 0.248 0.942 0.433
Dy3 0.433 0.248 0.942
Dy4 0.567 0.752 0.058
Dy5 0.752 0.058 0.567
Dy6 0.942 0.433 0.248
Tl1 0.000 0.000 0.000
Tl2 0.500 0.500 0.500
O1 0.027 0.895 0.678
O2 0.105 0.322 0.973
O3 0.180 0.599 0.428
O4 0.322 0.973 0.105
O5 0.401 0.572 0.820
O6 0.428 0.180 0.599
O7 0.572 0.820 0.401
O8 0.599 0.428 0.180
O9 0.678 0.027 0.895
O10 0.820 0.401 0.572
O11 0.895 0.678 0.027
O12 0.973 0.105 0.322

=====

LaPmTh2Se4: optimized geometry, PBE.

energy relative to the elements, uncorrected	-1719	meV per atom
Fermi-level density of states	0.653	states/eV per atom
total magnetization	0.000	Bohr magnetons per cell

abc: 7.245 4.243 7.375
angles: 90.00 109.54 90.00
Positions (direct):
La1 0.000 0.000 0.000
Pm1 0.500 0.500 0.000
Th1 0.000 0.500 0.500
Th2 0.500 0.000 0.500
Se1 0.254 0.000 0.751
Se2 0.254 0.500 0.251
Se3 0.746 0.000 0.249
Se4 0.746 0.500 0.749

=====

Ca2Ge3O8: optimized geometry, PBE.

energy relative to the elements, uncorrected	-2162	meV per atom
Fermi-level density of states	0.000	states/eV per atom
total magnetization	0.000	Bohr magnetons per cell

abc: 6.368 6.368 4.990
angles: 107.76 107.76 55.89
Positions (direct):
Ca1 0.222 0.222 0.164
Ca2 0.778 0.778 0.836
Ge1 0.236 0.764 0.500
Ge2 0.500 0.500 0.000
Ge3 0.764 0.236 0.500
O1 0.106 0.106 0.461
O2 0.180 0.621 0.110
O3 0.379 0.820 0.890
O4 0.402 0.402 0.597
O5 0.598 0.598 0.403
O6 0.621 0.180 0.110
O7 0.820 0.379 0.890
O8 0.894 0.894 0.539

=====

MnAl3Ni: optimized geometry, PBE.

formation energy from the elements	-311	meV/atom
Fermi-level density of states	0.572	states/eV per atom
total magnetization	3.178	Bohr magnetons per cell

abc: 7.858 7.323 4.656
angles: 78.54 65.97 35.50
Positions (direct):
Mn1 0.216 0.784 0.784
Mn2 0.784 0.216 0.216
Al1 0.187 0.187 0.813
Al2 0.204 0.600 0.400
Al3 0.400 0.796 0.204
Al4 0.600 0.204 0.796
Al5 0.796 0.400 0.600
Al6 0.813 0.813 0.187
Ni1 0.250 0.250 0.250
Ni2 0.750 0.750 0.750

=====

RbHgBr2: optimized geometry, PBE.

energy relative to the elements, uncorrected	-835	meV per atom
Fermi-level density of states	2.267	states/eV per atom
total magnetization	0.000	Bohr magnetons per cell

abc: 9.469 9.469 9.469
angles: 32.46 32.46 32.46
Positions (direct):
Rb1 0.000 0.000 0.000
Hg1 0.500 0.500 0.500
Br1 0.396 0.396 0.396
Br2 0.604 0.604 0.604

=====

TbSmY2S6: optimized geometry, PBE.

energy relative to the elements, uncorrected	-2054	meV per atom
Fermi-level density of states	0.000	states/eV per atom
total magnetization	0.000	Bohr magnetons per cell

abc: 7.394 7.394 7.394
angles: 56.27 56.27 56.27
Positions (direct):
Tb1 0.000 0.000 0.000
Sm1 0.503 0.503 0.503
Y1 0.300 0.300 0.300
Y2 0.798 0.798 0.798
S1 0.095 0.401 0.698
S2 0.190 0.909 0.596
S3 0.401 0.698 0.095
S4 0.596 0.190 0.909
S5 0.698 0.095 0.401
S6 0.909 0.596 0.190

=====

Ba2CdHRh: optimized geometry, PBE.

total DFT energy (no corrections)	-3.338	eV/atom
Fermi-level density of states	0.706	states/eV per atom
total magnetization	0.000	Bohr magnetons per cell

abc: 5.847 5.847 3.790
angles: 90.00 90.00 90.00
Positions (direct):
Ba1 0.000 0.500 0.000
Ba2 0.500 0.000 0.000
Cd1 0.000 0.000 0.500
H1 0.500 0.500 0.000
Rh1 0.500 0.500 0.500

=====

VPHRuS: optimized geometry, PBE.

total DFT energy (no corrections)	-6.658	eV/atom
Fermi-level density of states	0.568	states/eV per atom
total magnetization	0.005	Bohr magnetons per cell

abc: 4.247 4.247 6.269
angles: 122.42 122.42 41.14
Positions (direct):
V1 0.000 0.000 0.000
P1 0.419 0.419 0.627
H1 0.674 0.674 0.205
Ru1 0.640 0.640 0.457
S1 0.314 0.314 0.053

=====

Ca3Ag4Sn2: optimized geometry, PBE.

formation energy from the elements	-398	meV/atom
Fermi-level density of states	0.494	states/eV per atom
total magnetization	0.000	Bohr magnetons per cell

abc: 6.076 6.076 9.239
angles: 113.35 113.35 46.46
Positions (direct):
Ca1 0.000 0.000 0.000
Ca2 0.348 0.348 0.316
Ca3 0.652 0.652 0.684
Ag1 0.085 0.085 0.419
Ag2 0.282 0.282 0.946
Ag3 0.718 0.718 0.054
Ag4 0.915 0.915 0.581
Sn1 0.365 0.365 0.698
Sn2 0.635 0.635 0.302

=====

Sb2RuRh: optimized geometry, PBE.

energy relative to the elements, uncorrected	107	meV per atom
Fermi-level density of states	0.655	states/eV per atom
total magnetization	0.000	Bohr magnetons per cell

abc: 5.598 5.598 5.598
angles: 139.61 139.61 58.44
Positions (direct):
Sb1 0.000 0.000 0.000
Sb2 0.750 0.250 0.500
Ru1 0.500 0.500 0.000
Rh1 0.250 0.750 0.500

=====

TiS2I: optimized geometry, PBE.

energy relative to the elements, uncorrected	-883	meV per atom
Fermi-level density of states	0.228	states/eV per atom
total magnetization	0.000	Bohr magnetons per cell

abc: 3.449 5.796 11.003
angles: 78.92 89.84 89.51
Positions (direct):
Ti1 0.000 0.000 0.000
Ti2 0.480 0.500 0.000
S1 0.486 0.213 0.868
S2 0.487 0.787 0.133
S3 0.993 0.713 0.868
S4 0.994 0.287 0.133
I1 0.488 0.999 0.500
I2 0.992 0.499 0.500

=====

LiMgMoIr: optimized geometry, PBE.

formation energy from the elements	-178	meV/atom
Fermi-level density of states	0.262	states/eV per atom
total magnetization	0.000	Bohr magnetons per cell

abc: 4.369 4.369 4.369
angles: 60.00 60.00 60.00
Positions (direct):
Li1 0.000 0.000 0.000
Mg1 0.250 0.250 0.250
Mo1 0.750 0.750 0.750
Ir1 0.500 0.500 0.500